Entry 1:
# PBE-GGA NiPRu3, optimized geometry
# Offset from the most stable computed form in eV/f.u.: 4.96
# Volume in A^3/atom: 17.2
# Magnetic moment in μB/cell: 3.5
data_NiPRu3
_symmetry_space_group_name_H-M 'P m -3 m'
_symmetry_Int_Tables_number 221
_symmetry_space_group_name_Hall '-P 4 2 3'
_cell_length_a 4.4158
_cell_length_b 4.4158
_cell_length_c 4.4158
_cell_angle_alpha 90.00
_cell_angle_beta 90.00
_cell_angle_gamma 90.00
loop_
_atom_site_label
_atom_site_type_symbol
_atom_site_fract_x
_atom_site_fract_y
_atom_site_fract_z
Ni1 Ni 0.0000 0.0000 0.0000
P1 P 0.5000 0.5000 0.5000
Ru1 Ru 0.0000 0.0000 0.5000


Entry 2:
# PBE-GGA La3Nd, optimized geometry
# Volume in A^3/atom: 37.0
# Magnetic moment in μB/cell: 7.2
# Total DFT energy (no corrections) in eV/cell: -76.2
data_La3Nd
_symmetry_space_group_name_H-M 'F m -3 m'
_symmetry_Int_Tables_number 225
_symmetry_space_group_name_Hall '-F 4 2 3'
_cell_length_a 8.3982
_cell_length_b 8.3982
_cell_length_c 8.3982
_cell_angle_alpha 90.00
_cell_angle_beta 90.00
_cell_angle_gamma 90.00
loop_
_atom_site_label
_atom_site_type_symbol
_atom_site_fract_x
_atom_site_fract_y
_atom_site_fract_z
La1 La 0.0000 0.0000 0.0000
La2 La 0.2500 0.2500 0.2500
Nd1 Nd 0.0000 0.0000 0.5000


Entry 3:
# PBE-GGA Sc4In5Hg, optimized geometry
# Volume in A^3/atom: 22.7
# Magnetic moment in μB/cell: 0.0
# Total DFT energy (no corrections) in eV/cell: -85.9
data_Sc4In5Hg
_symmetry_space_group_name_H-M 'C 1 2/m 1'
_symmetry_Int_Tables_number 12
_cell_length_a 16.3167
_cell_length_b 4.5486
_cell_length_c 6.2683
_cell_angle_alpha 90.00
_cell_angle_beta 102.66
_cell_angle_gamma 90.00
loop_
_symmetry_equiv_pos_as_xyz
'x,y,z'
'-x,-y,-z'
'-x,y,-z'
'x,-y,z'
'x+1/2,y+1/2,z'
'-x+1/2,-y+1/2,-z'
'-x+1/2,y+1/2,-z'
'x+1/2,-y+1/2,z'
loop_
_atom_site_label
_atom_site_type_symbol
_atom_site_fract_x
_atom_site_fract_y
_atom_site_fract_z
Sc1 Sc 0.0902 0.0000 0.3192
Sc2 Sc 0.2011 0.5000 0.1151
In1 In 0.0000 0.5000 0.5000
In2 In 0.1057 0.0000 0.8267
In3 In 0.2037 0.5000 0.6069
Hg1 Hg 0.0000 0.5000 0.0000


Entry 4:
# PBE-GGA Zn2GaPd3, optimized geometry
# Offset from the most stable computed form in eV/f.u.: 0.03
# Volume in A^3/atom: 14.6
# Magnetic moment in μB/cell: 0.0
data_Zn2GaPd3
_symmetry_space_group_name_H-M 'C m m m'
_symmetry_Int_Tables_number 65
_symmetry_space_group_name_Hall '-C 2 2'
_cell_length_a 4.0954
_cell_length_b 12.4015
_cell_length_c 6.8977
_cell_angle_alpha 90.00
_cell_angle_beta 90.00
_cell_angle_gamma 90.00
loop_
_atom_site_label
_atom_site_type_symbol
_atom_site_fract_x
_atom_site_fract_y
_atom_site_fract_z
Zn1 Zn 0.0000 0.0000 0.0000
Zn2 Zn 0.0000 0.0000 0.5000
Zn3 Zn 0.0000 0.3319 0.0000
Ga1 Ga 0.0000 0.3377 0.5000
Pd1 Pd 0.0000 0.1677 0.2567
Pd2 Pd 0.0000 0.5000 0.2475


Entry 5:
# PBE-GGA PmNdMgBe, optimized geometry
# Volume in A^3/atom: 25.1
# Magnetic moment in μB/cell: 0.0
# Total DFT energy (no corrections) in eV/cell: -57.6
data_PmNdMgBe
_symmetry_space_group_name_H-M 'F -4 3 m'
_symmetry_Int_Tables_number 216
_symmetry_space_group_name_Hall 'F -4 2 3'
_cell_length_a 7.3820
_cell_length_b 7.3820
_cell_length_c 7.3820
_cell_angle_alpha 90.00
_cell_angle_beta 90.00
_cell_angle_gamma 90.00
loop_
_atom_site_label
_atom_site_type_symbol
_atom_site_fract_x
_atom_site_fract_y
_atom_site_fract_z
Pm1 Pm 0.0000 0.0000 0.0000
Nd1 Nd 0.0000 0.0000 0.5000
Mg1 Mg 0.2500 0.2500 0.2500
Be1 Be 0.2500 0.2500 0.7500